Density functional theory data (PBE) for crystalline Rb3Cu4Te4 at its relaxed geometry.

a b c (Å): 4.4708 5.0539 14.9703
angles (deg): 99.72 98.59 90.00
Last column: nearest neighbours and their distance in Å.
Positions (direct):
Cu  0.8890  0.3890  0.7779  3 Te 2.55-2.67
Cu  0.1110  0.6110  0.2221  3 Te 2.55-2.67
Cu  0.7482  0.7482  0.4964  4 Te 2.60-2.91
Cu  0.2518  0.2518  0.5036  4 Te 2.60-2.91
Rb  0.6540  0.1540  0.3080  6 Te 3.54-3.66, 8 Cu 3.60-3.73
Rb  0.3460  0.8460  0.6919  6 Te 3.54-3.66, 8 Cu 3.60-3.73
Rb  0.0000  0.0000  0.0000  8 Te 3.93, 4 Cu 4.11
Te  0.4311  0.4311  0.8622  2 Cu 2.55
Te  0.2025  0.7025  0.4050  5 Cu 2.60-2.91
Te  0.5689  0.5689  0.1378  2 Cu 2.55
Te  0.7975  0.2975  0.5950  5 Cu 2.60-2.91

Results
ΔE_f (raw)   -432 meV/atom
SG   Immm, No. 71
Polymorph energy (0 for the lowest one)   0 meV per atom
Total magnetization   0.00 μB/f.u.